1.
TmHfIrOs after structural relaxation, computed with GGA-PBE.

Values from the calculation:
For the distance to the lowest polymorph of the same formula, the calculation gives 0.16 eV per formula unit. The space-group type is F-43m (216). As for the calculated formation energy: -0.701 eV/atom. Its crystal system is cubic.

Structure (CIF):
```
data_TmHfIrOs
_chemical_formula_sum 'Tm1 Hf1 Ir1 Os1'
_cell_length_a 4.683
_cell_length_b 4.683
_cell_length_c 4.683
_cell_angle_alpha 60.00
_cell_angle_beta 60.00
_cell_angle_gamma 60.00
_symmetry_space_group_name_H-M 'P 1'
_symmetry_Int_Tables_number 1
loop_
_symmetry_equiv_pos_as_xyz
'x,y,z'
loop_
_atom_site_label
_atom_site_type_symbol
_atom_site_fract_x
_atom_site_fract_y
_atom_site_fract_z
_atom_site_occupancy
Ir1 Ir 0.000 0.000 0.000 1
Os1 Os 0.500 0.500 0.500 1
Tm1 Tm 0.250 0.250 0.250 1
Hf1 Hf 0.750 0.750 0.750 1
```

***

2.
ThCoNiP2 after structural relaxation, computed with GGA-PBE.

Values from the calculation:
The space-group type is I-4m2 (119). As for the calculated formation energy: -0.974 eV/atom. Its crystal system is tetragonal.

Structure (CIF):
```
data_ThCoNiP2
_chemical_formula_sum 'Th1 Co1 Ni1 P2'
_cell_length_a 3.964
_cell_length_b 3.964
_cell_length_c 5.536
_cell_angle_alpha 110.98
_cell_angle_beta 110.98
_cell_angle_gamma 90.00
_symmetry_space_group_name_H-M 'P 1'
_symmetry_Int_Tables_number 1
loop_
_symmetry_equiv_pos_as_xyz
'x,y,z'
loop_
_atom_site_label
_atom_site_type_symbol
_atom_site_fract_x
_atom_site_fract_y
_atom_site_fract_z
_atom_site_occupancy
Ni1 Ni 0.250 0.750 0.500 1
P1 P 0.369 0.369 0.738 1
P2 P 0.631 0.631 0.262 1
Th1 Th 0.000 0.000 0.000 1
Co1 Co 0.750 0.250 0.500 1
```

***

3.
Tm8Cd2In after structural relaxation, computed with GGA-PBE.

Values from the calculation:
For the distance to the lowest polymorph of the same formula, the calculation gives 0.00 eV per formula unit. The space-group type is C2/m (12). As for the calculated formation energy: -0.190 eV/atom. Its crystal system is monoclinic.

Structure (CIF):
```
data_Tm8Cd2In
_chemical_formula_sum 'Tm8 Cd2 In1'
_cell_length_a 5.218
_cell_length_b 8.373
_cell_length_c 8.454
_cell_angle_alpha 118.67
_cell_angle_beta 107.98
_cell_angle_gamma 90.00
_symmetry_space_group_name_H-M 'P 1'
_symmetry_Int_Tables_number 1
loop_
_symmetry_equiv_pos_as_xyz
'x,y,z'
loop_
_atom_site_label
_atom_site_type_symbol
_atom_site_fract_x
_atom_site_fract_y
_atom_site_fract_z
_atom_site_occupancy
Tm1 Tm 0.683 0.950 0.365 1
Tm2 Tm 0.139 0.186 0.279 1
Tm3 Tm 0.406 0.544 0.812 1
Tm4 Tm 0.861 0.814 0.721 1
Tm5 Tm 0.594 0.456 0.188 1
Tm6 Tm 0.934 0.279 0.869 1
Tm7 Tm 0.066 0.721 0.131 1
Tm8 Tm 0.317 0.050 0.635 1
Cd1 Cd 0.224 0.615 0.448 1
Cd2 Cd 0.776 0.385 0.552 1
In1 In 0.500 0.000 0.000 1
```

***

4.
YAlGe2 after structural relaxation, computed with GGA-PBE.

Values from the calculation:
The space-group type is I4/mmm (139). As for the calculated formation energy: -0.462 eV/atom. Its crystal system is tetragonal.

Structure (CIF):
```
data_YAlGe2
_chemical_formula_sum 'Y2 Al2 Ge4'
_cell_length_a 4.070
_cell_length_b 4.070
_cell_length_c 10.158
_cell_angle_alpha 101.56
_cell_angle_beta 101.56
_cell_angle_gamma 90.00
_symmetry_space_group_name_H-M 'P 1'
_symmetry_Int_Tables_number 1
loop_
_symmetry_equiv_pos_as_xyz
'x,y,z'
loop_
_atom_site_label
_atom_site_type_symbol
_atom_site_fract_x
_atom_site_fract_y
_atom_site_fract_z
_atom_site_occupancy
Ge1 Ge 0.000 0.500 0.000 1
Ge2 Ge 0.340 0.340 0.679 1
Ge3 Ge 0.660 0.660 0.321 1
Ge4 Ge 0.500 0.000 0.000 1
Y1 Y 0.113 0.113 0.226 1
Y2 Y 0.887 0.887 0.774 1
Al1 Al 0.250 0.750 0.500 1
Al2 Al 0.750 0.250 0.500 1
```

***

5.
Cs2Cu3RhF12 after structural relaxation, computed with GGA-PBE.

Values from the calculation:
The space-group type is R-3m (166). The value obtained for the raw formation energy is -1.887 eV per atom. Its crystal system is trigonal.

Structure (CIF):
```
data_Cs2Cu3RhF12
_chemical_formula_sum 'Cs2 Cu3 Rh1 F12'
_cell_length_a 7.733
_cell_length_b 7.733
_cell_length_c 7.733
_cell_angle_alpha 55.55
_cell_angle_beta 55.55
_cell_angle_gamma 55.55
_symmetry_space_group_name_H-M 'P 1'
_symmetry_Int_Tables_number 1
loop_
_symmetry_equiv_pos_as_xyz
'x,y,z'
loop_
_atom_site_label
_atom_site_type_symbol
_atom_site_fract_x
_atom_site_fract_y
_atom_site_fract_z
_atom_site_occupancy
F1 F 0.924 0.317 0.317 1
F2 F 0.923 0.320 0.923 1
F3 F 0.076 0.683 0.683 1
F4 F 0.923 0.923 0.320 1
F5 F 0.077 0.077 0.680 1
F6 F 0.317 0.924 0.317 1
F7 F 0.320 0.923 0.923 1
F8 F 0.683 0.076 0.683 1
F9 F 0.680 0.077 0.077 1
F10 F 0.683 0.683 0.076 1
F11 F 0.317 0.317 0.924 1
F12 F 0.077 0.680 0.077 1
Cs1 Cs 0.616 0.616 0.616 1
Cs2 Cs 0.384 0.384 0.384 1
Cu1 Cu 0.500 0.000 0.000 1
Cu2 Cu 0.000 0.500 0.000 1
Cu3 Cu 0.000 0.000 0.500 1
Rh1 Rh 0.000 0.000 0.000 1
```

***

6.
Zn2CrGa2 after structural relaxation, computed with GGA-PBE.

Values from the calculation:
For the distance to the lowest polymorph of the same formula, the calculation gives 0.00 eV per formula unit. The space-group type is P4/mbm (127). As for the calculated formation energy: 0.239 eV/atom. Its crystal system is tetragonal.

Structure (CIF):
```
data_Zn2CrGa2
_chemical_formula_sum 'Zn4 Cr2 Ga4'
_cell_length_a 6.835
_cell_length_b 6.835
_cell_length_c 3.549
_cell_angle_alpha 90.00
_cell_angle_beta 90.00
_cell_angle_gamma 90.00
_symmetry_space_group_name_H-M 'P 1'
_symmetry_Int_Tables_number 1
loop_
_symmetry_equiv_pos_as_xyz
'x,y,z'
loop_
_atom_site_label
_atom_site_type_symbol
_atom_site_fract_x
_atom_site_fract_y
_atom_site_fract_z
_atom_site_occupancy
Zn1 Zn 0.331 0.169 0.500 1
Zn2 Zn 0.169 0.669 0.500 1
Zn3 Zn 0.669 0.831 0.500 1
Zn4 Zn 0.831 0.331 0.500 1
Ga1 Ga 0.135 0.365 0.000 1
Ga2 Ga 0.865 0.635 0.000 1
Ga3 Ga 0.365 0.865 0.000 1
Ga4 Ga 0.635 0.135 0.000 1
Cr1 Cr 0.000 0.000 0.000 1
Cr2 Cr 0.500 0.500 0.000 1
```

***

Ρ readings, ordered: 16.69; 9.11; 9.26; 5.37; 4.46; 6.46 g cm⁻³
Spin magnetization readings, ordered: 0.00; 0.00; 0.00; 0.00; 3.88; 6.49 Bohr magnetons per cell
Fermi-level density of states readings, ordered: 1.37; 3.70; 10.53; 1.91; 10.64; 4.95 states/eV/cell